Computed, not measured: crystalline CrCd3F at its relaxed geometry at the GGA+U level of DFT. Values from VASP.

Quantum ESPRESSO input file:
```
&SYSTEM
  ibrav = 0, nat = 5, ntyp = 3
/
ATOMIC_SPECIES
Cr 52.00 Cr.upf
Cd 112.41 Cd.upf
F 19.00 F.upf
ATOMIC_POSITIONS angstrom
Cr 0.000 0.000 0.000
Cd 0.000 2.396 2.396
Cd 2.396 0.000 2.396
Cd 2.396 2.396 0.000
F 2.396 2.396 2.396
CELL_PARAMETERS angstrom
4.791 0.000 0.000
0.000 4.791 0.000
0.000 0.000 4.791
```

Properties
Energy = -0.190 Ry/atom